Record 1
Na2PtIN (PBE-GGA, relaxed); uncorrected formation energy = -446.2 meV/atom; DOS at the Fermi energy = 2.71 states/eV/cell
1.0
5.5351 0.0000 0.0000
0.0000 5.5351 0.0000
0.0000 0.0000 3.7410
Na Pt I N
2 1 1 1
Direct
0.0000 0.5000 0.0000
0.5000 0.0000 0.0000
0.0000 0.0000 0.5000
0.5000 0.5000 0.5000
0.0000 0.0000 0.0000

Record 2
ZrAsPt2 (PBE-GGA, relaxed); DOS at the Fermi energy = 1.67 states/eV/cell; ΔE_f = -0.766 eV per atom
1.0
-1.9722 1.9722 4.4293
1.9722 -1.9722 4.4293
1.9722 1.9722 -4.4293
Zr As Pt
1 1 2
Direct
0.0000 0.0000 0.0000
0.5000 0.5000 0.0000
0.2500 0.7500 0.5000
0.7500 0.2500 0.5000

Record 3
Sr2In8Au (PBE-GGA, relaxed); DOS at the Fermi energy = 4.66 states/eV/cell; ΔE_f = -0.283 eV per atom
1.0
4.9453 0.0000 0.0000
0.0000 4.9453 0.0000
0.0000 0.0000 12.3987
Sr In Au
2 8 1
Direct
0.0000 0.0000 0.1902
0.0000 0.0000 0.8098
0.0000 0.5000 0.0000
0.0000 0.5000 0.3737
0.0000 0.5000 0.6263
0.5000 0.0000 0.0000
0.5000 0.0000 0.3737
0.5000 0.0000 0.6263
0.5000 0.5000 0.2012
0.5000 0.5000 0.7988
0.0000 0.0000 0.5000

Record 4
RbSr2InPd (PBE-GGA, relaxed); DOS at the Fermi energy = 4.62 states/eV/cell; ΔE_f = -0.258 eV per atom
1.0
6.0466 0.0000 0.0000
0.0000 6.0466 0.0000
0.0000 0.0000 5.3968
Rb Sr In Pd
1 2 1 1
Direct
0.0000 0.0000 0.0000
0.0000 0.5000 0.5000
0.5000 0.0000 0.5000
0.5000 0.5000 0.0000
0.5000 0.5000 0.5000

Record 5
BaPu2GaAs4 (PBE-GGA, relaxed); DOS at the Fermi energy = 44.02 states/eV/cell; ΔE_f = -0.833 eV per atom
1.0
2.1038 -7.2237 0.0000
2.1038 7.2237 0.0000
0.0000 0.0000 14.1445
Ba Pu Ga As
2 4 2 8
Direct
0.1138 0.8862 0.7500
0.8862 0.1138 0.2500
0.3708 0.6292 0.5557
0.3708 0.6292 0.9443
0.6292 0.3708 0.0557
0.6292 0.3708 0.4443
0.1600 0.8400 0.2500
0.8400 0.1600 0.7500
0.0000 0.0000 0.0000
0.0000 0.0000 0.5000
0.2608 0.7392 0.1101
0.2608 0.7392 0.3899
0.4390 0.5610 0.7500
0.5610 0.4390 0.2500
0.7392 0.2608 0.6101
0.7392 0.2608 0.8899

Record 6
Pr2ErIn2Hg2 (PBE-GGA, relaxed); DOS at the Fermi energy = 4.60 states/eV/cell; ΔE_f = -0.296 eV per atom
1.0
2.4601 1.4203 9.4365
-2.4601 1.4203 9.4365
0.0000 -2.8407 9.4365
Pr Er In Hg
2 1 2 2
Direct
0.1270 0.1270 0.1270
0.8730 0.8730 0.8730
0.0000 0.0000 0.0000
0.2617 0.2617 0.2617
0.7383 0.7383 0.7383
0.3858 0.3858 0.3858
0.6142 0.6142 0.6142

Record 7
TeAuSN2 (PBE-GGA, relaxed); uncorrected formation energy = 1734.9 meV/atom; excess energy over the best structure of this formula in the dataset = 1.43 eV/f.u.; DOS at the Fermi energy = 4.01 states/eV/cell
1.0
4.0867 0.0000 0.0000
0.0000 4.0867 0.0000
0.0000 0.0000 5.2400
Te Au S N
1 1 1 2
Direct
0.0000 0.0000 0.0000
0.5000 0.5000 0.5000
0.5000 0.5000 0.0000
0.0000 0.5000 0.5000
0.5000 0.0000 0.5000

Record 8
BeTe2Se (PBE-GGA, relaxed); uncorrected formation energy = 527.0 meV/atom; excess energy over the best structure of this formula in the dataset = 2.12 eV/f.u.; DOS at the Fermi energy = 4.49 states/eV/cell
1.0
2.4565 1.4183 7.0461
-2.4565 1.4183 7.0461
0.0000 -2.8365 7.0461
Be Te Se
1 2 1
Direct
0.0000 0.0000 0.0000
0.1068 0.1068 0.1068
0.8932 0.8932 0.8932
0.5000 0.5000 0.5000

Record 9
Hf4ReAu (PBE-GGA, relaxed); excess energy over the best structure of this formula in the dataset = 1.41 eV/f.u.; DOS at the Fermi energy = 7.96 states/eV/cell; ΔE_f = -0.053 eV per atom
1.0
4.5955 0.0000 0.0000
0.0000 4.5955 0.0000
0.0000 0.0000 6.4926
Hf Re Au
4 1 1
Direct
0.0000 0.5000 0.2369
0.0000 0.5000 0.7631
0.5000 0.0000 0.2369
0.5000 0.0000 0.7631
0.0000 0.0000 0.0000
0.5000 0.5000 0.5000

Record 10
BaMg2F (PBE-GGA, relaxed); uncorrected formation energy = -365.1 meV/atom; excess energy over the best structure of this formula in the dataset = 2.67 eV/f.u.; DOS at the Fermi energy = 3.82 states/eV/cell
1.0
0.0000 3.9574 3.9574
3.9574 0.0000 3.9574
3.9574 3.9574 0.0000
Ba Mg F
1 2 1
Direct
0.0000 0.0000 0.0000
0.2500 0.2500 0.2500
0.7500 0.7500 0.7500
0.5000 0.5000 0.5000

Record 11
GeBiAu2 (PBE-GGA, relaxed); excess energy over the best structure of this formula in the dataset = 0.51 eV/f.u.; DOS at the Fermi energy = 1.00 states/eV/cell; ΔE_f = 0.119 eV per atom
1.0
4.7152 0.0000 0.0000
0.0000 4.7152 0.0000
0.0000 0.0000 3.9122
Ge Bi Au
1 1 2
Direct
0.0000 0.0000 0.0000
0.5000 0.5000 0.0000
0.0000 0.5000 0.5000
0.5000 0.0000 0.5000

Record 12
MnRuRh (PBE-GGA, relaxed); excess energy over the best structure of this formula in the dataset = 0.26 eV/f.u.; DOS at the Fermi energy = 4.10 states/eV/cell; ΔE_f = 0.035 eV per atom
1.0
-1.3364 1.3364 5.5787
1.3364 -1.3364 5.5787
1.3364 1.3364 -5.5787
Mn Ru Rh
1 1 1
Direct
0.0000 0.0000 0.0000
0.3423 0.3423 0.0000
0.6649 0.6649 0.0000

no.,total energy (eV per atom),V (Å³/atom)
1,-4.157,22.92
2,-7.086,17.23
3,-2.878,27.57
4,-2.710,39.46
5,-7.359,26.87
6,-3.182,28.26
7,-3.705,17.50
8,-2.847,36.82
9,-9.309,22.85
10,-2.111,30.99
11,-3.645,21.75
12,-8.564,13.28